[1]
Compound: AlTl2CoF6
Source: Alexandria via LeMat-Bulk
Functional: PBE+U
Structure: optimized geometry

Lattice parameters (Å, degrees): 5.8872 5.8872 8.4705 90.00 90.00 90.00
Closest atoms and distances in Å follow each position.
Space group I4/mmm (No. 139)
Symmetry-distinct sites (fractional):
Al 0.0000 0.0000 0.0000  6 F 1.85
Tl 0.0000 0.5000 0.2500  12 F 2.96-2.98
Co 0.0000 0.0000 0.5000  6 F 2.31-2.39
F 0.0000 0.0000 0.2184  1 Al 1.85
F 0.2224 0.2224 0.0000  1 Al 1.85

Properties
The calculated total energy comes out at -96.32 eV per cell.



[2]
Compound: AlTlCo2F8
Source: Alexandria via LeMat-Bulk
Functional: PBE+U
Structure: optimized geometry

Lattice parameters (Å, degrees): 8.1065 6.1188 7.3468 90.00 105.72 90.00
Closest atoms and distances in Å follow each position.
Space group C2/m (No. 12)
Symmetry-distinct sites (fractional):
Al 0.0000 0.0000 0.0000  6 F 1.80-1.85
Tl 0.0000 0.0000 0.5000  6 F 2.72-2.82
Co 0.0653 0.5000 0.7334  5 F 1.98-2.13
F 0.0184 0.2158 0.1817  1 Al 1.85, 1 Co 2.03
F 0.1535 0.5000 0.5047  2 Co 2.00-2.13
F 0.2300 0.0000 0.0467  1 Al 1.80, 1 Co 1.98

Properties
The calculation puts the density of states at the Fermi level at 0.0 states/eV/cell. The calculated total energy comes out at -122.32 eV per cell.